Arrangement w

La2Pm2Ho5 | PBE | optimized geometry

Lattice parameters (Å, degrees): 3.510 8.388 12.570 120.66 98.02 90.00
Atoms (fractional coordinates):
Pm1 0.455 0.265 0.909
Pm2 0.545 0.735 0.091
Ho1 0.310 0.147 0.619
Ho2 0.900 0.538 0.801
Ho3 0.690 0.853 0.381
Ho4 0.000 0.000 0.000
Ho5 0.100 0.462 0.199
La1 0.183 0.223 0.367
La2 0.817 0.777 0.633

Computed properties:
calculated volume	34.90	Å³ per atom
DOS at the Fermi energy	13.3	states/eV/f.u.



Arrangement x

La2Pm2Ho5 | PBE | optimized geometry

Lattice parameters (Å, degrees): 12.003 6.749 10.195 109.33 126.06 90.00
Atoms (fractional coordinates):
Ho1 0.625 0.757 0.717
Ho2 0.408 0.540 0.283
Ho3 0.592 0.257 0.717
Ho4 0.375 0.040 0.283
Ho5 0.992 0.158 0.500
Ho6 0.795 0.758 0.108
Ho7 0.205 0.650 0.892
Ho8 0.813 0.258 0.108
Ho9 0.187 0.150 0.892
Ho10 0.008 0.658 0.500
La1 0.742 0.851 0.500
La2 0.000 0.008 0.000
La3 0.500 0.508 0.000
La4 0.258 0.351 0.500
Pm1 0.877 0.431 0.748
Pm2 0.123 0.683 0.252
Pm3 0.630 0.183 0.252
Pm4 0.370 0.931 0.748

Computed properties:
calculated volume	33.84	Å³ per atom
DOS at the Fermi energy	14.2	states/eV/f.u.



Which of them is most stable? Easy: arrangement x.



Arrangement w

La3Pm4Ho2 | PBE | optimized geometry

Lattice parameters (Å, degrees): 3.639 3.639 27.363 90.00 90.00 120.00
Atoms (fractional coordinates):
Pm1 0.000 0.000 0.542
Pm2 0.667 0.333 0.435
Pm3 0.667 0.333 0.212
Pm4 0.000 0.000 0.769
La1 0.667 0.333 0.655
La2 0.000 0.000 0.984
La3 0.000 0.000 0.320
Ho1 0.667 0.333 0.872
Ho2 0.667 0.333 0.089

Computed properties:
calculated volume	34.86	Å³ per atom
DOS at the Fermi energy	15.2	states/eV/f.u.



Arrangement x

La3Pm4Ho2 | PBE | optimized geometry

Lattice parameters (Å, degrees): 5.856 10.320 13.375 151.34 90.00 106.48
Atoms (fractional coordinates):
Pm1 0.720 0.439 0.399
Pm2 0.855 0.711 0.083
Pm3 0.145 0.289 0.917
Pm4 0.280 0.561 0.601
La1 0.565 0.130 0.444
La2 0.435 0.870 0.556
La3 0.000 0.000 0.000
Ho1 0.256 0.513 0.818
Ho2 0.744 0.487 0.182

Computed properties:
calculated volume	34.72	Å³ per atom
DOS at the Fermi energy	13.6	states/eV/f.u.



Which of them is most stable? Easy: arrangement w.



Arrangement w

La2PmHo7 | PBE | optimized geometry

Lattice parameters (Å, degrees): 6.179 10.670 8.049 107.52 74.93 139.95
Atoms (fractional coordinates):
Ho1 0.102 0.300 0.398
Ho2 0.298 0.899 0.197
Ho3 0.702 0.101 0.803
Ho4 0.500 0.500 0.000
Ho5 0.898 0.700 0.602
Ho6 0.799 0.400 0.196
Ho7 0.201 0.600 0.804
La1 0.406 0.204 0.601
La2 0.594 0.796 0.399
Pm1 0.000 0.000 0.000

Computed properties:
calculated volume	32.53	Å³ per atom
DOS at the Fermi energy	15.1	states/eV/f.u.



Arrangement x

La2PmHo7 | PBE | optimized geometry

Lattice parameters (Å, degrees): 3.517 14.872 14.872 154.51 90.00 90.00
Atoms (fractional coordinates):
Ho1 0.500 0.148 0.344
Ho2 0.500 0.344 0.148
Ho3 0.500 0.500 0.500
Ho4 0.000 0.184 0.816
Ho5 0.500 0.852 0.656
Ho6 0.000 0.816 0.184
Ho7 0.500 0.656 0.852
La1 0.500 0.294 0.706
La2 0.500 0.706 0.294
Pm1 0.000 0.000 0.000

Computed properties:
calculated volume	33.49	Å³ per atom
DOS at the Fermi energy	18.2	states/eV/f.u.



Which of them is most stable? Easy: arrangement w.